1.
VASP calculation (GGA-PBE) on an optimized crystal structure of Th3I4Br2.

The calculation puts the excess energy over the best structure of this formula in the dataset at 0.002 eV/atom. The formation energy without anion corrections comes out at -1.1522 eV/atom.

The structure in POSCAR format:
```
Th3I4Br2
1.0
-3.817 -0.960 -0.380
2.451 -0.380 -3.080
6.649 -30.004 8.987
I Th Br
4 3 2
Direct
0.667 0.333 0.332
0.667 0.333 0.810
0.667 0.333 0.668
0.667 0.333 0.190
0.000 0.000 0.739
0.000 0.000 0.261
0.667 0.333 0.000
0.000 0.000 0.937
0.000 0.000 0.063
```

---

2.
VASP calculation (GGA-PBE) on an optimized crystal structure of Ba3ZnMo.

The calculation puts the formation energy at 717 meV/atom. The calculation puts the excess energy over the best structure of this formula in the dataset at 0.000 eV/atom.

The structure in POSCAR format:
```
Ba3ZnMo
1.0
-5.581 1.345 -1.596
-1.700 -0.288 5.704
1.210 5.798 0.654
Zn Mo Ba
1 1 3
Direct
0.500 0.500 0.500
0.000 0.000 0.000
0.000 0.500 0.000
0.500 0.000 0.000
0.000 0.000 0.500
```

---

3.
VASP calculation (GGA-PBE) on an optimized crystal structure of Cd2Ag7Pd2.

The calculation puts the formation energy at 11 meV/atom.

The structure in POSCAR format:
```
Cd2Ag7Pd2
1.0
-1.112 1.406 4.370
-4.591 -4.895 -2.208
4.460 -5.472 0.282
Ag Pd Cd
7 2 2
Direct
0.663 0.908 0.416
0.663 0.416 0.908
0.337 0.584 0.092
0.862 0.350 0.350
0.337 0.092 0.584
0.138 0.650 0.650
0.500 0.000 0.000
0.000 0.238 0.762
0.000 0.762 0.238
0.821 0.827 0.827
0.179 0.173 0.173
```

---

4.
VASP calculation (GGA-PBE) on an optimized crystal structure of NiSe2Br.

The calculation puts the excess energy over the best structure of this formula in the dataset at 0.526 eV/atom. The formation energy without anion corrections comes out at 0.2882 eV/atom.

The structure in POSCAR format:
```
NiSe2Br
1.0
8.536 -7.600 5.228
8.379 -8.984 2.651
10.198 -6.712 2.985
Ni Br Se
1 1 2
Direct
0.000 0.000 0.000
0.500 0.500 0.500
0.940 0.940 0.940
0.060 0.060 0.060
```

---

5.
VASP calculation (GGA-PBE) on an optimized crystal structure of AcCd2Au.

The calculation puts the formation energy at -237 meV/atom. The calculation puts the excess energy over the best structure of this formula in the dataset at 0.270 eV/atom.

The structure in POSCAR format:
```
AcCd2Au
1.0
3.785 0.000 0.000
0.000 3.785 0.000
0.000 0.000 7.373
Ac Au Cd
1 1 2
Direct
0.500 0.500 0.500
0.500 0.500 0.000
0.000 0.000 0.803
0.000 0.000 0.197
```

---

6.
VASP calculation (GGA-PBE) on an optimized crystal structure of Zn2IrAu2.

The calculation puts the formation energy at 111 meV/atom. The calculation puts the excess energy over the best structure of this formula in the dataset at 0.000 eV/atom.

The structure in POSCAR format:
```
Zn2IrAu2
1.0
6.905 0.000 0.000
0.000 6.905 0.000
0.000 0.000 3.360
Au Zn Ir
4 4 2
Direct
0.167 0.667 0.500
0.833 0.333 0.500
0.333 0.167 0.500
0.667 0.833 0.500
0.635 0.135 0.000
0.865 0.635 0.000
0.365 0.865 0.000
0.135 0.365 0.000
0.500 0.500 0.000
0.000 0.000 0.000
```

---

7.
VASP calculation (GGA-PBE) on an optimized crystal structure of GaSiSe2.

The formation energy without anion corrections comes out at -0.1316 eV/atom.

The structure in POSCAR format:
```
GaSiSe2
1.0
5.830 6.744 1.797
5.865 4.984 4.843
7.906 3.930 2.179
Ga Se Si
1 2 1
Direct
0.000 0.000 0.000
0.112 0.112 0.112
0.888 0.888 0.888
0.500 0.500 0.500
```

---

8.
VASP calculation (GGA-PBE) on an optimized crystal structure of HoErPb.

The calculation puts the formation energy at -217 meV/atom. The calculation puts the excess energy over the best structure of this formula in the dataset at 0.041 eV/atom.

The structure in POSCAR format:
```
HoErPb
1.0
-5.379 -1.222 1.424
-0.763 -0.575 -3.374
2.588 -8.302 2.652
Er Ho Pb
2 2 2
Direct
0.500 0.670 0.340
0.000 0.330 0.660
0.250 0.209 0.000
0.750 0.791 0.000
0.500 0.845 0.689
0.000 0.155 0.311
```

---

no.,raw total energy (eV per formula unit)
1,-42.18
2,-14.29
3,-32.05
4,-13.27
5,-10.16
6,-17.41
7,-15.95
8,-13.50